# NaAc2Mg16 | Alexandria | GGA-PBE | optimized geometry
# - DOS(E_F) (states/eV per cell) = 26.3
# - crystal system = trigonal
# - final energy (eV/atom) = -1.902
# - calculated formation energy (kJ per mole of atoms) = -5.6
data_NaAc2Mg16
_chemical_formula_sum 'Na3 Ac6 Mg48'
_cell_length_a 10.5420
_cell_length_b 10.5420
_cell_length_c 15.4304
_cell_angle_alpha 90.00
_cell_angle_beta 90.00
_cell_angle_gamma 120.00
_space_group_name_H-M_alt 'R 3 m'
_space_group_IT_number 160
_space_group_name_Hall 'R 3 -2"'
loop_
_atom_site_label
_atom_site_type_symbol
_atom_site_fract_x
_atom_site_fract_y
_atom_site_fract_z
_atom_site_occupancy
Na1 Na 0.0000 0.0000 0.0000 1
Ac1 Ac 0.0000 0.0000 0.4331 1
Ac2 Ac 0.0000 0.0000 0.7572 1
Mg1 Mg 0.0000 0.0000 0.2003 1
Mg2 Mg 0.9999 0.3011 0.0971 1
Mg3 Mg 0.0094 0.5047 0.2501 1
Mg4 Mg 0.1686 0.3372 0.9300 1
Mg5 Mg 0.1690 0.3380 0.2758 1

***

# Pr2ErGe | Alexandria | GGA-PBE | optimized geometry
# - DOS(E_F) (states/eV per cell) = 4.0
# - crystal system = tetragonal
# - offset from the most stable computed form (eV/f.u.) = 0.00
# - final energy (eV/atom) = -5.003
# - calculated formation energy (kJ per mole of atoms) = -30.7
data_Pr2ErGe
_chemical_formula_sum 'Pr2 Er1 Ge1'
_cell_length_a 4.773
_cell_length_b 4.773
_cell_length_c 4.829
_cell_angle_alpha 90.00
_cell_angle_beta 90.00
_cell_angle_gamma 90.00
_space_group_name_H-M_alt 'P 4/m m m'
_space_group_IT_number 123
_space_group_name_Hall '-P 4 2'
loop_
_atom_site_label
_atom_site_type_symbol
_atom_site_fract_x
_atom_site_fract_y
_atom_site_fract_z
_atom_site_occupancy
Pr1 Pr 0.000 0.500 0.000 1
Er1 Er 0.000 0.000 0.500 1
Ge1 Ge 0.500 0.500 0.500 1

***

# NiSb3Te | Alexandria | GGA-PBE | optimized geometry
# - DOS(E_F) (states/eV per cell) = 6.8
# - crystal system = cubic
# - offset from the most stable computed form (eV/f.u.) = 1.31
# - final energy (eV/atom) = -4.001
data_NiSb3Te
_chemical_formula_sum 'Ni1 Sb3 Te1'
_cell_length_a 5.048
_cell_length_b 5.048
_cell_length_c 5.048
_cell_angle_alpha 90.00
_cell_angle_beta 90.00
_cell_angle_gamma 90.00
_space_group_name_H-M_alt 'P m -3 m'
_space_group_IT_number 221
_space_group_name_Hall '-P 4 2 3'
loop_
_atom_site_label
_atom_site_type_symbol
_atom_site_fract_x
_atom_site_fract_y
_atom_site_fract_z
_atom_site_occupancy
Ni1 Ni 0.000 0.000 0.000 1
Sb1 Sb 0.000 0.000 0.500 1
Te1 Te 0.500 0.500 0.500 1

***

# Sr2Tl5 | Alexandria | GGA-PBE | optimized geometry
# - DOS(E_F) (states/eV per cell) = 8.6
# - crystal system = monoclinic
# - final energy (eV/atom) = -2.419
# - calculated formation energy (kJ per mole of atoms) = -24.0
data_Sr2Tl5
_chemical_formula_sum 'Sr4 Tl10'
_cell_length_a 12.171
_cell_length_b 4.276
_cell_length_c 8.885
_cell_angle_alpha 90.00
_cell_angle_beta 98.50
_cell_angle_gamma 90.00
_space_group_name_H-M_alt 'C 1 2/m 1'
_space_group_IT_number 12
_space_group_name_Hall '-C 2y'
loop_
_atom_site_label
_atom_site_type_symbol
_atom_site_fract_x
_atom_site_fract_y
_atom_site_fract_z
_atom_site_occupancy
Sr1 Sr 0.071 0.000 0.221 1
Tl1 Tl 0.000 0.500 0.500 1
Tl2 Tl 0.155 0.500 0.927 1
Tl3 Tl 0.208 0.000 0.640 1

***

# BaAlIr2 | Alexandria | GGA-PBE | optimized geometry
# - DOS(E_F) (states/eV per cell) = 5.5
# - crystal system = trigonal
# - offset from the most stable computed form (eV/f.u.) = 2.31
# - final energy (eV/atom) = -5.653
# - calculated formation energy (kJ per mole of atoms) = 18.7
data_BaAlIr2
_chemical_formula_sum 'Ba3 Al3 Ir6'
_cell_length_a 3.1184
_cell_length_b 3.1184
_cell_length_c 27.2902
_cell_angle_alpha 90.00
_cell_angle_beta 90.00
_cell_angle_gamma 120.00
_space_group_name_H-M_alt 'R -3 m'
_space_group_IT_number 166
_space_group_name_Hall '-R 3 2"'
loop_
_atom_site_label
_atom_site_type_symbol
_atom_site_fract_x
_atom_site_fract_y
_atom_site_fract_z
_atom_site_occupancy
Ba1 Ba 0.0000 0.0000 0.0000 1
Al1 Al 0.0000 0.0000 0.5000 1
Ir1 Ir 0.0000 0.0000 0.2322 1

***

# Tb4PmTl7 | Alexandria | GGA-PBE | optimized geometry
# - DOS(E_F) (states/eV per cell) = 14.6
# - crystal system = monoclinic
# - final energy (eV/atom) = -3.446
# - calculated formation energy (kJ per mole of atoms) = -12.2
data_Tb4PmTl7
_chemical_formula_sum 'Tb8 Pm2 Tl14'
_cell_length_a 13.417
_cell_length_b 5.738
_cell_length_c 11.516
_cell_angle_alpha 90.00
_cell_angle_beta 123.76
_cell_angle_gamma 90.00
_space_group_name_H-M_alt 'C 1 2/m 1'
_space_group_IT_number 12
_space_group_name_Hall '-C 2y'
loop_
_atom_site_label
_atom_site_type_symbol
_atom_site_fract_x
_atom_site_fract_y
_atom_site_fract_z
_atom_site_occupancy
Tb1 Tb 0.086 0.000 0.283 1
Tb2 Tb 0.221 0.000 0.829 1
Pm1 Pm 0.000 0.500 0.500 1
Tl1 Tl 0.000 0.000 0.500 1
Tl2 Tl 0.080 0.500 0.826 1
Tl3 Tl 0.134 0.000 0.043 1
Tl4 Tl 0.216 0.500 0.396 1

***

# Cd3InPb | Alexandria | GGA-PBE | optimized geometry
# - DOS(E_F) (states/eV per cell) = 3.4
# - crystal system = cubic
# - offset from the most stable computed form (eV/f.u.) = 1.76
# - final energy (eV/atom) = -1.434
# - calculated formation energy (kJ per mole of atoms) = 39.0
data_Cd3InPb
_chemical_formula_sum 'Cd3 In1 Pb1'
_cell_length_a 5.479
_cell_length_b 5.479
_cell_length_c 5.479
_cell_angle_alpha 90.00
_cell_angle_beta 90.00
_cell_angle_gamma 90.00
_space_group_name_H-M_alt 'P m -3 m'
_space_group_IT_number 221
_space_group_name_Hall '-P 4 2 3'
loop_
_atom_site_label
_atom_site_type_symbol
_atom_site_fract_x
_atom_site_fract_y
_atom_site_fract_z
_atom_site_occupancy
Cd1 Cd 0.000 0.000 0.500 1
In1 In 0.000 0.000 0.000 1
Pb1 Pb 0.500 0.500 0.500 1

***

# La3CoAu | Alexandria | GGA-PBE | optimized geometry
# - DOS(E_F) (states/eV per cell) = 7.1
# - crystal system = cubic
# - offset from the most stable computed form (eV/f.u.) = 0.93
# - final energy (eV/atom) = -5.255
# - calculated formation energy (kJ per mole of atoms) = -21.4
data_La3CoAu
_chemical_formula_sum 'La3 Co1 Au1'
_cell_length_a 5.268
_cell_length_b 5.268
_cell_length_c 5.268
_cell_angle_alpha 90.00
_cell_angle_beta 90.00
_cell_angle_gamma 90.00
_space_group_name_H-M_alt 'P m -3 m'
_space_group_IT_number 221
_space_group_name_Hall '-P 4 2 3'
loop_
_atom_site_label
_atom_site_type_symbol
_atom_site_fract_x
_atom_site_fract_y
_atom_site_fract_z
_atom_site_occupancy
La1 La 0.000 0.000 0.500 1
Co1 Co 0.000 0.000 0.000 1
Au1 Au 0.500 0.500 0.500 1

***

# MnTl3Bi2Te6 | Alexandria | GGA-PBE | optimized geometry
# - DOS(E_F) (states/eV per cell) = 8.0
# - crystal system = monoclinic
# - final energy (eV/atom) = -3.835
data_MnTl3Bi2Te6
_chemical_formula_sum 'Mn2 Tl6 Bi4 Te12'
_cell_length_a 7.696
_cell_length_b 13.293
_cell_length_c 8.290
_cell_angle_alpha 90.00
_cell_angle_beta 107.96
_cell_angle_gamma 90.00
_space_group_name_H-M_alt 'C 1 2/m 1'
_space_group_IT_number 12
_space_group_name_Hall '-C 2y'
loop_
_atom_site_label
_atom_site_type_symbol
_atom_site_fract_x
_atom_site_fract_y
_atom_site_fract_z
_atom_site_occupancy
Mn1 Mn 0.000 0.000 0.000 1
Tl1 Tl 0.000 0.179 0.500 1
Tl2 Tl 0.000 0.500 0.500 1
Bi1 Bi 0.000 0.336 0.000 1
Te1 Te 0.220 0.152 0.209 1
Te2 Te 0.232 0.000 0.783 1

***

# Ac2S2O | Alexandria | GGA-PBE | optimized geometry
# - DOS(E_F) (states/eV per cell) = 0.0
# - crystal system = orthorhombic
# - final energy (eV/atom) = -6.921
data_Ac2S2O
_chemical_formula_sum 'Ac8 S8 O4'
_cell_length_a 4.253
_cell_length_b 16.053
_cell_length_c 7.516
_cell_angle_alpha 90.00
_cell_angle_beta 90.00
_cell_angle_gamma 90.00
_space_group_name_H-M_alt 'C m c 21'
_space_group_IT_number 36
_space_group_name_Hall 'C 2c -2'
loop_
_atom_site_label
_atom_site_type_symbol
_atom_site_fract_x
_atom_site_fract_y
_atom_site_fract_z
_atom_site_occupancy
Ac1 Ac 0.000 0.055 0.000 1
Ac2 Ac 0.000 0.337 0.093 1
S1 S 0.000 0.299 0.482 1
S2 S 0.000 0.461 0.801 1
O1 O 0.000 0.094 0.663 1

***

# Na3Si23 | Alexandria | GGA-PBE | optimized geometry
# - DOS(E_F) (states/eV per cell) = 14.1
# - crystal system = cubic
# - final energy (eV/atom) = -4.935
data_Na3Si23
_chemical_formula_sum 'Na6 Si46'
_cell_length_a 10.224
_cell_length_b 10.224
_cell_length_c 10.224
_cell_angle_alpha 90.00
_cell_angle_beta 90.00
_cell_angle_gamma 90.00
_space_group_name_H-M_alt 'P m -3 n'
_space_group_IT_number 223
_space_group_name_Hall '-P 4n 2 3'
loop_
_atom_site_label
_atom_site_type_symbol
_atom_site_fract_x
_atom_site_fract_y
_atom_site_fract_z
_atom_site_occupancy
Na1 Na 0.000 0.250 0.500 1
Si1 Si 0.000 0.308 0.117 1
Si2 Si 0.000 0.500 0.250 1
Si3 Si 0.184 0.184 0.184 1